No. 1
{"formula": "EuZnSn", "functional": "PBE", "state": "relaxed", "lattice_angstrom": [[-4.2525, 1.8482, -1.2110], [-1.1553, -5.8982, -4.9449], [-3.5424, -4.2706, 5.9217]], "species": ["Eu", "Eu", "Eu", "Eu", "Zn", "Zn", "Zn", "Zn", "Sn", "Sn", "Sn", "Sn"], "fractional_positions": [[0.2500, 0.4961, 0.7883], [0.7500, 0.5039, 0.2117], [0.2500, 0.9961, 0.7117], [0.7500, 0.0039, 0.2883], [0.7500, 0.3201, 0.5825], [0.2500, 0.1799, 0.0825], [0.7500, 0.8201, 0.9175], [0.2500, 0.6799, 0.4175], [0.2500, 0.2912, 0.4088], [0.7500, 0.2088, 0.9088], [0.2500, 0.7912, 0.0912], [0.7500, 0.7088, 0.5912]], "space_group": "No. 62"}

No. 2
{"formula": "EuZnSn", "functional": "PBE", "state": "relaxed", "lattice_angstrom": [[-1.9219, 1.5078, 5.5984], [-5.2154, -0.8082, 3.0751], [-1.3407, -4.6320, 6.0011]], "species": ["Eu", "Eu", "Zn", "Zn", "Sn", "Sn"], "fractional_positions": [[0.5427, 0.5427, 0.7074], [0.4573, 0.4573, 0.2926], [0.8508, 0.8508, 0.0941], [0.1492, 0.1492, 0.9059], [0.1719, 0.1719, 0.2722], [0.8281, 0.8281, 0.7278]], "space_group": "No. 12"}

no.,final energy (eV/cell),E_form (eV/atom)
1,-68.8,-0.548
2,-34.1,-0.505